Run a
GdHoTeO2 after structural relaxation. Source: OQMD, functional GGA-PBE.

Unit cell a=6.8194 b=6.8194 c=6.8194 alpha=146.59 beta=146.59 gamma=47.97
Last column: nearest neighbours and their distance in Å.
Atoms (fractional coordinates):
Te (0.9992, 0.9992, 0.0000)  4 Gd 3.42, 4 Ho 3.43, 8 O 3.65-3.71
Gd (0.6605, 0.6605, 0.0000)  4 O 2.27
O (0.2518, 0.7518, 0.5000)  2 Ho 2.23, 2 Gd 2.27
O (0.7518, 0.2518, 0.5000)  2 Ho 2.23, 2 Gd 2.27
Ho (0.3368, 0.3368, 0.0000)  4 O 2.23

## Properties
* density: 8.35 g cm⁻³
* symmetry: I4mm, No. 107



Run b
GdHoTeO2 after structural relaxation. Source: OQMD, functional GGA-PBE.

Unit cell a=3.8990 b=3.8990 c=7.1948 alpha=90.00 beta=90.00 gamma=120.00
Last column: nearest neighbours and their distance in Å.
Atoms (fractional coordinates):
Ho (0.3333, 0.6667, 0.3051)  4 O 2.25-2.31
O (0.3333, 0.6667, 0.6179)  1 Ho 2.25, 3 Gd 2.32
O (0.0000, 0.0000, 0.3771)  1 Gd 2.30, 3 Ho 2.31
Gd (0.0000, 0.0000, 0.6966)  4 O 2.30-2.32
Te (0.6667, 0.3333, 0.0034)  3 Ho 3.13, 3 Gd 3.15

## Properties
* density: 8.45 g cm⁻³
* symmetry: P3m1, No. 156



The winner here is run a, beating the second structure by 82 meV per atom.



Run a
GdHoZn after structural relaxation. Source: OQMD, functional GGA-PBE.

Unit cell a=4.9400 b=4.9400 c=4.9400 alpha=60.00 beta=60.00 gamma=60.00
Last column: nearest neighbours and their distance in Å.
Atoms (fractional coordinates):
Zn (0.0000, 0.0000, 0.0000)  4 Ho 3.03, 4 Gd 3.03
Gd (0.2500, 0.2500, 0.2500)  4 Zn 3.03
Ho (0.7500, 0.7500, 0.7500)  4 Zn 3.03

## Properties
* density: 7.55 g cm⁻³
* symmetry: F-43m, No. 216



Run b
GdHoZn after structural relaxation. Source: OQMD, functional GGA-PBE.

Unit cell a=5.0550 b=5.0550 c=13.9868 alpha=90.00 beta=90.00 gamma=120.00
Last column: nearest neighbours and their distance in Å.
Atoms (fractional coordinates):
Zn (0.6667, 0.3333, 0.8729)  3 Ho 2.92
Zn (0.3333, 0.6667, 0.3729)  3 Ho 2.92
Zn (0.3333, 0.6667, 0.1271)  3 Ho 2.92
Zn (0.6667, 0.3333, 0.6271)  3 Ho 2.92
Gd (0.0000, 0.0000, 0.7500)  6 Zn 3.39, 6 Ho 3.43, 2 Gd 3.50
Gd (0.0000, 0.0000, 0.5000)  6 Ho 3.37, 6 Zn 3.42, 2 Gd 3.50
Gd (0.0000, 0.0000, 0.0000)  6 Ho 3.37, 6 Zn 3.42, 2 Gd 3.50
Gd (0.0000, 0.0000, 0.2500)  6 Zn 3.39, 6 Ho 3.43, 2 Gd 3.50
Ho (0.6667, 0.3333, 0.3795)  3 Zn 2.92
Ho (0.3333, 0.6667, 0.8795)  3 Zn 2.92
Ho (0.3333, 0.6667, 0.6205)  3 Zn 2.92
Ho (0.6667, 0.3333, 0.1205)  3 Zn 2.92

## Properties
* density: 8.32 g cm⁻³
* symmetry: P6_3/mmc, No. 194



The winner here is run b, beating the second structure by 100 meV per atom.



Run a
LaGdIn2Ni4 after structural relaxation. Source: OQMD, functional GGA-PBE.

Unit cell a=4.0751 b=5.2184 c=7.1281 alpha=90.00 beta=90.00 gamma=90.00
Last column: nearest neighbours and their distance in Å.
Atoms (fractional coordinates):
Gd (0.5000, 0.0000, 0.2683)  3 Ni 2.70-2.84
In (0.0000, 0.0000, 0.6465)  4 Ni 2.67-2.86
In (0.0000, 0.5000, 0.3434)  4 Ni 2.63-2.76
Ni (0.5000, 0.5000, 0.1104)  4 Ni 2.55, 2 In 2.63, 1 La 2.70, 2 Gd 2.84
Ni (0.5000, 0.0000, 0.8890)  4 Ni 2.54, 2 In 2.67, 1 Gd 2.70, 2 La 2.84
Ni (0.0000, 0.7568, 0.0053)  6 Ni 2.54-2.68, 1 In 2.76
Ni (0.0000, 0.2432, 0.0053)  6 Ni 2.54-2.68, 1 In 2.76
La (0.5000, 0.5000, 0.7318)  3 Ni 2.70-2.84

## Properties
* density: 8.33 g cm⁻³
* symmetry: Pmm2, No. 25



Run b
LaGdIn2Ni4 after structural relaxation. Source: OQMD, functional GGA-PBE.

Unit cell a=4.4498 b=4.4498 c=8.8636 alpha=90.00 beta=90.00 gamma=120.00
Last column: nearest neighbours and their distance in Å.
Atoms (fractional coordinates):
Ni (0.0000, 0.0000, 0.6883)  3 In 2.65, 1 Gd 2.76, 3 Ni 2.86
Ni (0.0000, 0.0000, 0.3117)  3 In 2.65, 1 Gd 2.76, 3 Ni 2.86
Ni (0.6667, 0.3333, 0.1698)  3 In 2.64, 3 Ni 2.86, 1 La 2.93
Ni (0.6667, 0.3333, 0.8302)  3 In 2.64, 3 Ni 2.86, 1 La 2.93
Gd (0.0000, 0.0000, 0.0000)  8 Ni 2.76-2.98
In (0.3333, 0.6667, 0.2376)  6 Ni 2.64-2.65
In (0.3333, 0.6667, 0.7624)  6 Ni 2.64-2.65
La (0.6667, 0.3333, 0.5000)  8 Ni 2.93-3.06

## Properties
* density: 8.31 g cm⁻³
* symmetry: P-6m2, No. 187



The winner here is run a, beating the second structure by 57 meV per atom.



Run a
NaGdIn after structural relaxation. Source: OQMD, functional GGA-PBE.

Unit cell a=5.1734 b=5.1734 c=5.1734 alpha=60.00 beta=60.00 gamma=60.00
Last column: nearest neighbours and their distance in Å.
Atoms (fractional coordinates):
Gd (0.0000, 0.0000, 0.0000)  4 Na 3.17, 4 In 3.17
Na (0.7500, 0.7500, 0.7500)  4 Gd 3.17
In (0.2500, 0.2500, 0.2500)  4 Gd 3.17

## Properties
* density: 5.00 g cm⁻³
* symmetry: F-43m, No. 216



Run b
NaGdIn after structural relaxation. Source: OQMD, functional GGA-PBE.

Unit cell a=4.9740 b=4.9740 c=4.9740 alpha=60.00 beta=60.00 gamma=60.00
Last column: nearest neighbours and their distance in Å.
Atoms (fractional coordinates):
Na (0.0000, 0.0000, 0.0000)  4 Gd 3.05, 4 In 3.05
Gd (0.2500, 0.2500, 0.2500)  4 Na 3.05
In (0.7500, 0.7500, 0.7500)  4 Na 3.05

## Properties
* density: 5.63 g cm⁻³
* symmetry: F-43m, No. 216



The winner here is run b, beating the second structure by 96 meV per atom.